# CaDyCd4 | the Alexandria database | PBE-GGA | optimized geometry
# space-group type = C2/m, No. 12
# energy above the most stable polymorph in this dataset = 0.0 meV per atom
# calculated density = 7.05 g/cm³
# V = 154 Å³/f.u.
data_CaDyCd4
_cell_length_a 4.9750
_cell_length_b 4.9750
_cell_length_c 7.1679
_cell_angle_alpha 90.09
_cell_angle_beta 90.09
_cell_angle_gamma 120.01
_symmetry_space_group_name_H-M 'P 1'
_symmetry_Int_Tables_number 1
loop_
_symmetry_equiv_pos_as_xyz
'x,y,z'
loop_
_atom_site_label
_atom_site_type_symbol
_atom_site_fract_x
_atom_site_fract_y
_atom_site_fract_z
_atom_site_occupancy
Ca1 Ca 0.0000 0.0000 0.0000 1
Dy1 Dy 0.0000 0.0000 0.5000 1
Cd1 Cd 0.3329 0.6659 0.2717 1
Cd2 Cd 0.3341 0.6671 0.7283 1
Cd3 Cd 0.6659 0.3329 0.2717 1
Cd4 Cd 0.6671 0.3341 0.7283 1